DFT (PBE-GGA) results for an optimized crystal structure of SrNiOs2.

Properties
total energy = -6.657 eV per atom
space-group type = I-42d (122)
ΔE_f = 824 meV/atom
Fermi-level density of states = 11.783 states/eV/cell
spin magnetization = 0.0 μB/cell
ΔE to the lowest computed polymorph = 252 kJ/mol of formula units

Geometry as POSCAR:
```
SrNiOs2
1.0
-2.379 2.379 8.425
2.379 -2.379 8.425
2.379 2.379 -8.425
Sr Ni Os
2 2 4
Direct
0.000 0.000 0.000
0.750 0.250 0.500
0.250 0.750 0.500
0.500 0.500 0.000
0.351 0.125 0.726
0.375 0.649 0.774
0.399 0.625 0.274
0.875 0.601 0.226
```